No. 1
Entry from Alexandria: Ti4Nb4Ir after structural relaxation (PBE).

a = 7.0645 Å, b = 7.0645 Å, c = 7.0645 Å
α = 93.01°, β = 93.01°, γ = 153.53°
Sites, in units of the cell vectors:
Nb 0.8328 0.5001 0.3329
Nb 0.4999 0.8328 0.3327
Nb 0.5001 0.1672 0.6673
Nb 0.1672 0.4999 0.6671
Ir 0.5000 0.5000 0.0000
Ti 0.1584 0.8417 0.0001
Ti 0.8416 0.1583 0.9999
Ti 0.8417 0.8416 0.6833
Ti 0.1583 0.1584 0.3167

Computed properties:
Space-group type = I4/mmm (139)
Crystal system = tetragonal
Final energy = -0.676 Ry/atom

No. 2
Entry from Alexandria: Mn2CdAu after structural relaxation (PBE).

a = 4.1903 Å, b = 4.1910 Å, c = 3.8542 Å
α = 90.00°, β = 90.00°, γ = 90.00°
Last column: magnetic moment on the atom in μB.
Sites, in units of the cell vectors:
Mn 0.0000 0.0000 0.0000  3.66
Mn 0.5000 0.5000 0.0000  3.66
Au 0.5000 0.0000 0.5000  0.02
Cd 0.0000 0.5000 0.5000  -0.07

Computed properties:
Space-group type = P4/mmm (123)
Crystal system = tetragonal
Final energy = -0.404 Ry/atom

No. 3
Entry from Alexandria: Cs2CoPbBr6 after structural relaxation (PBE).

a = 7.2346 Å, b = 7.8696 Å, c = 7.8696 Å
α = 120.00°, β = 90.00°, γ = 90.00°
Last column: magnetic moment on the atom in μB.
Sites, in units of the cell vectors:
Br 0.7905 0.1588 0.3176  0.06
Br 0.7905 0.1588 0.8412  0.06
Br 0.2095 0.8412 0.6824  0.06
Br 0.2095 0.3176 0.1588  0.06
Br 0.2095 0.8412 0.1588  0.06
Br 0.7905 0.6824 0.8412  0.06
Pb 0.5000 0.0000 0.0000  0.00
Co 0.0000 0.0000 0.0000  2.44
Cs 0.1971 0.3333 0.6667  0.00
Cs 0.8029 0.6667 0.3333  0.00

Computed properties:
Space-group type = P-3m1 (164)
Crystal system = trigonal
Raw formation energy = -1068 meV/atom

No. 4
Entry from Alexandria: Ge2PdWSe after structural relaxation (PBE).

a = 4.6311 Å, b = 5.3507 Å, c = 4.6311 Å
α = 90.00°, β = 90.00°, γ = 90.00°
Last column: magnetic moment on the atom in μB.
Sites, in units of the cell vectors:
Ge 0.5000 0.0000 0.0000  0.01
Ge 0.0000 0.0000 0.5000  -0.01
Pd 0.0000 0.0000 0.0000  0.15
Se 0.5000 0.5000 0.5000  -0.08
W 0.0000 0.5000 0.0000  2.60

Computed properties:
Space-group type = P4/mmm (123)
Crystal system = tetragonal
Raw formation energy = 1038 meV/atom

No. 5
Entry from Alexandria: BaLaBrN after structural relaxation (PBE).

a = 3.9786 Å, b = 3.9761 Å, c = 8.2312 Å
α = 89.98°, β = 103.98°, γ = 120.02°
Last column: magnetic moment on the atom in μB.
Sites, in units of the cell vectors:
Br 0.9503 0.3729 0.3383  0.01
La 0.0840 0.9401 0.0391  0.11
Ba 0.5017 0.1485 0.6661  0.25
N 0.3419 0.5692 0.9261  -0.02

Computed properties:
Space-group type = R3m (160)
Crystal system = trigonal
Raw formation energy = -1346 meV/atom

No. 6
Entry from Alexandria: BaLiPtCl6 after structural relaxation (PBE).

a = 6.8270 Å, b = 6.4804 Å, c = 6.6956 Å
α = 88.57°, β = 87.23°, γ = 58.16°
Last column: magnetic moment on the atom in μB.
Sites, in units of the cell vectors:
Cl 0.6220 0.0176 0.2963  0.01
Cl 0.0077 0.3728 0.2672  0.14
Cl 0.6190 0.3735 0.7331  0.14
Cl 0.3579 0.6237 0.3016  0.02
Cl 0.3607 0.0178 0.7036  0.01
Cl 0.0179 0.6238 0.6985  0.02
Pt 0.3344 0.3313 0.5000  0.54
Ba 0.9992 0.0019 0.9997  0.01
Li 0.6810 0.6377 0.4999  0.00

Computed properties:
Space-group type = C2 (5)
Crystal system = monoclinic
Raw formation energy = -1357 meV/atom

No. 7
Entry from Alexandria: Na2Sr3Zn2 after structural relaxation (PBE).

a = 4.5108 Å, b = 4.3889 Å, c = 13.2375 Å
α = 90.00°, β = 80.19°, γ = 90.00°
Sites, in units of the cell vectors:
Sr 0.8213 0.0000 0.3575
Sr 0.0000 0.0000 0.0000
Sr 0.1787 0.0000 0.6425
Na 0.4087 0.5000 0.1826
Na 0.5913 0.5000 0.8174
Zn 0.2754 0.5000 0.4493
Zn 0.7246 0.5000 0.5507

Computed properties:
Space-group type = Cmmm (65)
Crystal system = orthorhombic
Final energy = -0.115 Ry/atom

No. 8
Entry from Alexandria: Bi2RhN2 after structural relaxation (PBE).

a = 3.3492 Å, b = 3.3548 Å, c = 13.5645 Å
α = 73.05°, β = 78.37°, γ = 90.02°
Sites, in units of the cell vectors:
N 0.5102 0.5117 0.4578
N 0.4898 0.4883 0.5422
Bi 0.3908 0.3415 0.1344
Bi 0.6092 0.6585 0.8656
Rh 0.0000 0.0000 0.0000

Computed properties:
Space-group type = P-1 (2)
Crystal system = triclinic
Raw formation energy = -34 meV/atom

No. 9
Entry from Alexandria: HfCr2CdSn after structural relaxation (PBE).

a = 4.9396 Å, b = 5.2116 Å, c = 4.9396 Å
α = 90.00°, β = 90.00°, γ = 90.00°
Last column: magnetic moment on the atom in μB.
Sites, in units of the cell vectors:
Cd 0.0000 0.0000 0.0000  0.07
Hf 0.5000 0.5000 0.5000  -0.26
Cr 0.0000 0.0000 0.5000  3.74
Cr 0.5000 0.0000 0.0000  3.75
Sn 0.0000 0.5000 0.0000  -0.02

Computed properties:
Space-group type = P4/mmm (123)
Crystal system = tetragonal
Final energy = -0.398 Ry/atom

No. 10
Entry from Alexandria: MoPd6Pt2 after structural relaxation (PBE).

a = 2.7829 Å, b = 2.7829 Å, c = 21.0697 Å
α = 90.00°, β = 90.00°, γ = 120.00°
Sites, in units of the cell vectors:
Pt 0.3333 0.6667 0.6724
Pt 0.3333 0.6667 0.3276
Pd 0.0000 0.0000 0.7843
Pd 0.0000 0.0000 0.4386
Pd 0.0000 0.0000 0.2157
Pd 0.0000 0.0000 0.5614
Pd 0.3333 0.6667 0.8957
Pd 0.3333 0.6667 0.1043
Mo 0.0000 0.0000 0.0000

Computed properties:
Space-group type = P-6m2 (187)
Crystal system = hexagonal
Final energy = -0.440 Ry/atom

No. 11
Entry from Alexandria: HfScI2N after structural relaxation (PBE).

a = 5.8031 Å, b = 5.8031 Å, c = 3.8309 Å
α = 90.00°, β = 90.00°, γ = 90.00°
Last column: magnetic moment on the atom in μB.
Sites, in units of the cell vectors:
I 0.5000 0.0000 0.0000  0.00
I 0.0000 0.5000 0.0000  0.00
Sc 0.0000 0.0000 0.0000  0.02
N 0.0000 0.0000 0.5000  0.10
Hf 0.5000 0.5000 0.5000  0.06

Computed properties:
Space-group type = P4/mmm (123)
Crystal system = tetragonal
Raw formation energy = 240 meV/atom

No. 12
Entry from Alexandria: TmNi2Ir after structural relaxation (PBE).

a = 4.9058 Å, b = 5.0368 Å, c = 11.5730 Å
α = 90.00°, β = 90.00°, γ = 90.00°
Sites, in units of the cell vectors:
Ni 0.0000 0.5000 0.0000
Ni 0.2509 0.7500 0.8626
Ni 0.5000 0.0000 0.5000
Ni 0.2509 0.2500 0.1374
Ni 0.7491 0.2500 0.1374
Ni 0.0000 0.0000 0.0000
Ni 0.7491 0.7500 0.8626
Ni 0.5000 0.5000 0.5000
Ir 0.0000 0.7500 0.6758
Ir 0.5000 0.7500 0.6804
Ir 0.5000 0.2500 0.3196
Ir 0.0000 0.2500 0.3242
Tm 0.5000 0.7500 0.1041
Tm 0.0000 0.7500 0.4058
Tm 0.0000 0.2500 0.5942
Tm 0.5000 0.2500 0.8959

Computed properties:
Space-group type = Pmma (51)
Crystal system = orthorhombic
Final energy = -0.470 Ry/atom

Number 1: volume 153.0 Å³/cell. Number 2: volume 67.7 Å³/cell. Number 3: volume 388.0 Å³/cell. Number 4: volume 114.8 Å³/cell. Number 5: volume 108.3 Å³/cell. Number 6: volume 251.4 Å³/cell. Number 7: volume 258.2 Å³/cell. Number 8: volume 142.5 Å³/cell. Number 9: volume 127.2 Å³/cell. Number 10: volume 141.3 Å³/cell. Number 11: volume 129.0 Å³/cell. Number 12: volume 286.0 Å³/cell.